1.
A plane-wave DFT calculation with GGA-PBE was carried out for a geometry-optimized Ag2BPb structure.

```
Ag2BPb
1.0
5.1625 0.0000 0.0000
0.0000 5.1625 0.0000
2.5812 2.5812 6.7957
Ag B Pb
4 2 2
direct
0.4693 0.1250 0.2500
0.3750 0.5307 0.7500
0.2807 0.6250 0.2500
0.8750 0.7193 0.7500
0.5000 0.5000 0.0000
0.2500 0.7500 0.5000
0.0000 0.0000 0.0000
0.7500 0.2500 0.5000
```

Calculated values
Symmetry = No. 122
Calculated volume = 22.64 Å³ per atom
ΔE to the lowest computed polymorph = 0 meV per atom
Formation energy from the elements = 781 meV per atom
E_tot = -3.241 eV per atom
Size of the total moment = 0.00 μB/f.u.


2.
A plane-wave DFT calculation with GGA-PBE was carried out for a geometry-optimized SbOs structure.

```
SbOs
1.0
-1.8055 -2.5977 0.3054
3.3669 -2.0446 2.5134
-1.9069 1.7975 4.0165
Os Sb
2 2
direct
0.0000 0.5000 0.3838
0.0000 0.0000 0.9496
0.5000 0.5000 0.9038
0.5000 0.0000 0.4295
```

Calculated values
Symmetry = No. 51
Calculated volume = 17.81 Å³ per atom
E_tot = -7.016 eV per atom
Size of the total moment = 0.00 μB/f.u.


3.
A plane-wave DFT calculation with GGA-PBE was carried out for a geometry-optimized PrTmTe2 structure.

```
PrTmTe2
1.0
-2.0757 3.7520 0.2173
-3.8733 0.2071 1.8407
1.3128 2.7508 7.4601
Te Pr Tm
2 1 1
direct
0.0768 0.0768 0.7695
0.2561 0.2561 0.2316
0.4967 0.4967 0.5099
0.6703 0.6703 0.9890
```

Calculated values
Symmetry = No. 160
Calculated volume = 30.60 Å³ per atom
ΔE to the lowest computed polymorph = 0 meV per atom
E_tot = -5.232 eV per atom
Size of the total moment = 0.00 μB/f.u.


4.
A plane-wave DFT calculation with GGA-PBE was carried out for a geometry-optimized Ac4Tl5Sn3 structure.

```
Ac4Tl5Sn3
1.0
5.4861 0.0000 0.0000
2.7430 9.6121 -0.7415
2.7430 2.2419 7.9360
Ac Sn Tl
4 3 5
direct
0.0350 0.1698 0.7602
0.2612 0.7448 0.7329
0.7388 0.2552 0.2671
0.9650 0.8302 0.2398
0.2983 0.0038 0.3995
0.7017 0.9962 0.6005
0.0000 0.5000 0.5000
0.2037 0.4830 0.1097
0.4016 0.1567 0.0401
0.5984 0.8433 0.9599
0.5000 0.5000 0.5000
0.7963 0.5170 0.8903
```

Calculated values
Symmetry = No. 12
Calculated volume = 35.63 Å³ per atom
Formation energy from the elements = -253 meV per atom
E_tot = -3.609 eV per atom
Size of the total moment = 0.00 μB/f.u.


5.
A plane-wave DFT calculation with GGA-PBE was carried out for a geometry-optimized MgAlCd2 structure.

```
MgAlCd2
1.0
4.7981 0.0000 0.0000
0.0000 3.1514 0.1563
0.0000 1.2474 5.7466
Al Cd Mg
1 2 1
direct
0.5000 0.7500 0.7500
0.0000 0.6289 0.5080
0.0000 0.8711 0.9920
0.5000 0.2500 0.2500
```

Calculated values
Symmetry = No. 10
Calculated volume = 21.49 Å³ per atom
Formation energy from the elements = 63 meV per atom
E_tot = -1.728 eV per atom
Size of the total moment = 0.00 μB/f.u.


6.
A plane-wave DFT calculation with GGA-PBE was carried out for a geometry-optimized Ta2CrP structure.

```
Ta2CrP
1.0
-0.6973 7.3449 -1.0785
-2.9443 6.1515 -3.0145
-3.5622 6.5497 0.0969
Cr Ta P
1 2 1
direct
0.4856 0.4856 0.4856
0.0132 0.0132 0.0132
0.2443 0.2443 0.2443
0.7570 0.7570 0.7570
```

Calculated values
Symmetry = No. 160
Calculated volume = 15.99 Å³ per atom
Formation energy from the elements = -41 meV per atom
E_tot = -9.726 eV per atom
Size of the total moment = 0.00 μB/f.u.


7.
A plane-wave DFT calculation with GGA-PBE was carried out for a geometry-optimized Zr12Sn6W structure.

```
Zr12Sn6W
1.0
7.9792 -0.0947 -0.1135
-1.3033 7.8726 -0.1135
-1.3033 -1.5184 7.7256
Zr Sn W
12 6 1
direct
0.5263 0.2103 0.4064
0.9427 0.9867 0.6699
0.4737 0.7897 0.5936
0.4064 0.5263 0.2103
0.6699 0.9427 0.9867
0.0573 0.0133 0.3301
0.7897 0.5936 0.4737
0.2103 0.4064 0.5263
0.3301 0.0573 0.0133
0.9867 0.6699 0.9427
0.0133 0.3301 0.0573
0.5936 0.4737 0.7897
0.6685 0.8863 0.3342
0.6658 0.3315 0.1137
0.8863 0.3342 0.6685
0.3315 0.1137 0.6658
0.3342 0.6685 0.8863
0.1137 0.6658 0.3315
0.0000 0.0000 0.0000
```

Calculated values
Symmetry = No. 148
Calculated volume = 25.35 Å³ per atom
Formation energy from the elements = 31 meV per atom
E_tot = -7.313 eV per atom
Size of the total moment = 0.00 μB/f.u.


8.
A plane-wave DFT calculation with GGA-PBE was carried out for a geometry-optimized DyTmHfTh structure.

```
DyTmHfTh
1.0
-0.6497 1.8338 -5.0823
-5.0032 0.8064 -1.9829
-1.8043 5.0622 -0.8563
Tm Dy Hf Th
1 1 1 1
direct
0.7500 0.7500 0.7500
0.0000 0.0000 0.0000
0.2500 0.2500 0.2500
0.5000 0.5000 0.5000
```

Calculated values
Symmetry = No. 216
Calculated volume = 28.49 Å³ per atom
Formation energy from the elements = 191 meV per atom
E_tot = -6.420 eV per atom
Size of the total moment = 0.00 μB/f.u.


9.
A plane-wave DFT calculation with GGA-PBE was carried out for a geometry-optimized SrPuPtO6 structure.

```
SrPuPtO6
1.0
-3.3024 3.9928 -1.3446
-1.9396 -4.4014 2.3500
1.5609 4.6709 10.0364
Pt O Sr Pu
2 12 2 2
direct
0.6667 0.3333 0.7500
0.3333 0.6667 0.2500
0.3620 0.3554 0.8526
0.3554 0.9934 0.1474
0.3554 0.3620 0.3526
0.3620 0.0066 0.6474
0.0066 0.3620 0.1474
0.6446 0.0066 0.8526
0.6380 0.9934 0.3526
0.6446 0.6380 0.6474
0.6380 0.6446 0.1474
0.0066 0.6446 0.3526
0.9934 0.3554 0.6474
0.9934 0.6380 0.8526
0.0000 0.0000 0.5000
0.0000 0.0000 0.0000
0.3333 0.6667 0.7500
0.6667 0.3333 0.2500
```

Calculated values
Symmetry = No. 163
Calculated volume = 15.41 Å³ per atom
E_tot = -7.761 eV per atom
Size of the total moment = 2.00 μB/f.u.


10.
A plane-wave DFT calculation with GGA-PBE was carried out for a geometry-optimized HfNiPd3 structure.

```
HfNiPd3
1.0
-1.6670 -2.0354 3.0793
-1.7124 -3.9376 -3.5298
8.5595 1.8718 3.2076
Pd Hf Ni
6 2 2
direct
0.0014 0.7488 0.0028
0.6032 0.2259 0.2063
0.3968 0.7741 0.7937
0.9986 0.2512 0.9972
0.2044 0.2007 0.4087
0.7956 0.7993 0.5913
0.6223 0.7612 0.2445
0.3777 0.2388 0.7555
0.1869 0.6415 0.3738
0.8131 0.3585 0.6262
```

Calculated values
Symmetry = No. 12
Calculated volume = 15.43 Å³ per atom
ΔE to the lowest computed polymorph = 0 meV per atom
Formation energy from the elements = -532 meV per atom
E_tot = -6.795 eV per atom
Size of the total moment = 0.00 μB/f.u.


11.
A plane-wave DFT calculation with GGA-PBE was carried out for a geometry-optimized Li4Pd4Pb3 structure.

```
Li4Pd4Pb3
1.0
3.2900 -0.0177 0.2732
-0.0366 4.4724 0.7014
0.4562 0.1064 13.8531
Li Pb Pd
4 3 4
direct
0.4327 0.4335 0.1289
0.3158 0.8148 0.3640
0.5672 0.5665 0.8711
0.6841 0.1851 0.6360
0.8377 0.3371 0.3201
0.0000 0.0000 0.0000
0.1623 0.6628 0.6799
0.2557 0.2553 0.4885
0.8966 0.8968 0.2004
0.1034 0.1032 0.7996
0.7442 0.7446 0.5115
```

Calculated values
Symmetry = No. 2
Calculated volume = 18.46 Å³ per atom
Formation energy from the elements = -333 meV per atom
E_tot = -3.929 eV per atom
Size of the total moment = 0.00 μB/f.u.


12.
A plane-wave DFT calculation with GGA-PBE was carried out for a geometry-optimized Na5TiTe4 structure.

```
Na5TiTe4
1.0
4.5484 0.0000 0.0000
0.0000 8.1176 -1.3947
-2.2742 -2.6484 9.0391
Na Te Ti
5 4 1
direct
0.8236 0.0709 0.6473
0.1764 0.9291 0.3527
0.5000 0.5000 0.0000
0.8231 0.5778 0.6463
0.1769 0.4222 0.3537
0.0003 0.2296 0.0006
0.9997 0.7704 0.9994
0.6806 0.1798 0.3611
0.3194 0.8202 0.6389
0.5000 0.0000 0.0000
```

Calculated values
Symmetry = No. 12
Calculated volume = 31.69 Å³ per atom
E_tot = -3.427 eV per atom
Size of the total moment = 1.00 μB/f.u.


13.
A plane-wave DFT calculation with GGA-PBE was carried out for a geometry-optimized Li3Dy4Se8 structure.

```
Li3Dy4Se8
1.0
8.0891 -0.0788 -0.1132
-3.9149 7.0441 0.0541
-3.9149 -2.3946 6.6248
Se Li Dy
8 3 4
direct
0.9979 0.7440 0.7440
0.0000 0.2477 0.7523
0.0021 0.2560 0.2560
0.5000 0.2499 0.7501
0.5080 0.7527 0.7527
0.4920 0.2473 0.2473
0.0000 0.7523 0.2477
0.5000 0.7501 0.2499
0.5000 0.5000 0.0000
0.5000 0.5000 0.5000
0.5000 0.0000 0.5000
0.0000 0.0000 0.5000
0.0000 0.5000 0.0000
0.5000 0.0000 0.0000
0.0000 0.0000 0.0000
```

Calculated values
Symmetry = No. 12
Calculated volume = 24.82 Å³ per atom
E_tot = -5.048 eV per atom
Size of the total moment = 0.00 μB/f.u.


14.
A plane-wave DFT calculation with GGA-PBE was carried out for a geometry-optimized Ir2PdRh2 structure.

```
Ir2PdRh2
1.0
-5.1915 2.5347 -4.8288
-5.2129 -4.2651 3.3657
-0.5809 2.0536 1.7025
Rh Ir Pd
4 4 2
direct
0.3776 0.8776 0.0000
0.6224 0.1224 0.0000
0.8776 0.6224 0.0000
0.1224 0.3776 0.0000
0.3262 0.1738 0.5000
0.8262 0.3262 0.5000
0.6738 0.8262 0.5000
0.1738 0.6738 0.5000
0.5000 0.5000 0.0000
0.0000 0.0000 0.0000
```

Calculated values
Symmetry = No. 127
Calculated volume = 15.48 Å³ per atom
ΔE to the lowest computed polymorph = 46 meV per atom
Formation energy from the elements = 309 meV per atom
E_tot = -7.214 eV per atom
Size of the total moment = 0.00 μB/f.u.


15.
A plane-wave DFT calculation with GGA-PBE was carried out for a geometry-optimized Ti2Nb5Mo4 structure.

```
Ti2Nb5Mo4
1.0
2.9056 0.0000 0.0000
0.0000 7.4804 -0.3869
-1.4528 -2.8475 9.3033
Nb Mo Ti
5 4 2
direct
0.1348 0.3036 0.2696
0.8652 0.6964 0.7304
0.8299 0.0383 0.6599
0.1701 0.9617 0.3401
0.5000 0.0000 0.0000
0.0046 0.3094 0.0091
0.5963 0.6228 0.1925
0.4037 0.3772 0.8075
0.9954 0.6906 0.9909
0.7263 0.6565 0.4526
0.2737 0.3435 0.5474
```

Calculated values
Symmetry = No. 12
Calculated volume = 18.09 Å³ per atom
ΔE to the lowest computed polymorph = 470 meV per atom
Formation energy from the elements = 378 meV per atom
E_tot = -9.573 eV per atom
Size of the total moment = 0.00 μB/f.u.


16.
A plane-wave DFT calculation with GGA-PBE was carried out for a geometry-optimized BeAs2Ir structure.

```
BeAs2Ir
1.0
4.3801 0.0000 0.0000
2.1900 3.7933 0.0000
2.1900 1.2644 3.5763
Ir As Be
1 2 1
direct
0.7500 0.7500 0.7500
0.2500 0.2500 0.2500
0.0000 0.0000 0.0000
0.5000 0.5000 0.5000
```

Calculated values
Symmetry = No. 216
Calculated volume = 14.86 Å³ per atom
Formation energy from the elements = 438 meV per atom
E_tot = -5.033 eV per atom
Size of the total moment = 0.00 μB/f.u.


17.
A plane-wave DFT calculation with GGA-PBE was carried out for a geometry-optimized La4Nd5Sm4 structure.

```
La4Nd5Sm4
1.0
-3.3707 -3.3086 2.2033
-3.1085 -5.7410 -7.2502
5.3382 -7.6700 2.8281
Nd Sm La
5 4 4
direct
0.0000 0.0000 0.0000
0.5402 0.7692 0.1505
0.4598 0.2308 0.8495
0.6908 0.8495 0.7691
0.3092 0.1505 0.2309
0.8463 0.9229 0.3842
0.7694 0.3842 0.0771
0.1537 0.0771 0.6158
0.2306 0.6158 0.9229
0.6164 0.3062 0.4606
0.9223 0.4605 0.6939
0.0777 0.5395 0.3061
0.3836 0.6938 0.5394
```

Calculated values
Symmetry = No. 2
Calculated volume = 35.48 Å³ per atom
Formation energy from the elements = 18 meV per atom
E_tot = -4.784 eV per atom
Size of the total moment = 0.00 μB/f.u.